Entry from Alexandria: PIrOs2 after structural relaxation (PBE).

abc: 5.3793 5.3793 10.9115
angles: 90.00 90.00 90.00
Positions (direct):
P 0.0000 0.0000 0.0000
P 0.0000 0.5000 0.2500
P 0.5000 0.0000 0.7500
P 0.5000 0.5000 0.5000
Ir 0.0000 0.0000 0.5000
Ir 0.0000 0.5000 0.7500
Ir 0.5000 0.0000 0.2500
Ir 0.5000 0.5000 0.0000
Os 0.2278 0.2500 0.1250
Os 0.2500 0.7278 0.3750
Os 0.2500 0.7722 0.8750
Os 0.2722 0.2500 0.6250
Os 0.7278 0.7500 0.6250
Os 0.7500 0.2278 0.8750
Os 0.7500 0.2722 0.3750
Os 0.7722 0.7500 0.1250

The formation energy is 0.65 eV/atom. For the size of the total moment, the calculation gives 0.00 μB per formula unit.

***

Entry from Alexandria: PIrOs2 after structural relaxation (PBE).

abc: 5.1651 9.5745 2.7747
angles: 90.00 121.50 90.00
Positions (direct):
P 0.0000 0.0000 0.0000
P 0.5000 0.5000 0.0000
Ir 0.0000 0.5000 0.0000
Ir 0.5000 0.0000 0.0000
Os 0.2500 0.2500 0.5000
Os 0.2500 0.7500 0.5000
Os 0.7500 0.2500 0.5000
Os 0.7500 0.7500 0.5000

The formation energy is 0.63 eV/atom. For the size of the total moment, the calculation gives 0.00 μB per formula unit.

***

Entry from Alexandria: PIrOs2 after structural relaxation (PBE).

abc: 2.7489 4.5532 4.5929
angles: 90.00 90.00 90.00
Positions (direct):
P 0.0000 0.0000 0.0000
Ir 0.5000 0.5000 0.0000
Os 0.0000 0.5000 0.5000
Os 0.5000 0.0000 0.5000

The formation energy is 0.52 eV/atom. For the size of the total moment, the calculation gives 0.15 μB per formula unit.

***

Entry from Alexandria: P2IrOs after structural relaxation (PBE).

abc: 2.9217 4.1492 9.3663
angles: 90.00 90.00 90.00
Positions (direct):
P 0.0000 0.0000 0.0000
P 0.0000 0.5000 0.2206
P 0.5000 0.0000 0.7206
P 0.5000 0.5000 0.5000
Ir 0.0000 0.5000 0.7205
Ir 0.5000 0.0000 0.2205
Os 0.0000 0.0000 0.5132
Os 0.5000 0.5000 0.0132

The formation energy is 0.21 eV/atom. For the size of the total moment, the calculation gives 0.00 μB per formula unit. As for the energy relative to the lowest polymorph listed for this composition: 2.04 eV/f.u.

***

Entry from Alexandria: P2IrOs after structural relaxation (PBE).

abc: 7.5688 2.9230 5.0316
angles: 90.00 102.79 90.00
Positions (direct):
P 0.2459 0.0000 0.2412
P 0.2541 0.5000 0.7588
P 0.7459 0.5000 0.2412
P 0.7541 0.0000 0.7588
Ir 0.0000 0.0000 0.5000
Ir 0.5000 0.5000 0.5000
Os 0.0000 0.5000 0.0000
Os 0.5000 0.0000 0.0000

The formation energy is -0.04 eV/atom. For the size of the total moment, the calculation gives 0.00 μB per formula unit. As for the energy relative to the lowest polymorph listed for this composition: 1.05 eV/f.u.

***

Entry from Alexandria: P2IrOs after structural relaxation (PBE).

abc: 5.9850 5.9850 5.9850
angles: 90.00 90.00 90.00
Positions (direct):
P 0.2500 0.2500 0.2500
P 0.2500 0.2500 0.7500
P 0.2500 0.7500 0.2500
P 0.2500 0.7500 0.7500
P 0.7500 0.2500 0.2500
P 0.7500 0.2500 0.7500
P 0.7500 0.7500 0.2500
P 0.7500 0.7500 0.7500
Ir 0.0000 0.0000 0.0000
Ir 0.0000 0.5000 0.5000
Ir 0.5000 0.0000 0.5000
Ir 0.5000 0.5000 0.0000
Os 0.0000 0.0000 0.5000
Os 0.0000 0.5000 0.0000
Os 0.5000 0.0000 0.0000
Os 0.5000 0.5000 0.5000

The formation energy is 0.21 eV/atom. For the size of the total moment, the calculation gives 0.00 μB per formula unit. As for the energy relative to the lowest polymorph listed for this composition: 2.04 eV/f.u.

***

Entry from Alexandria: P2IrOs after structural relaxation (PBE).

abc: 2.9125 2.9125 22.1890
angles: 90.00 90.00 120.00
Positions (direct):
P 0.0000 0.0000 0.2476
P 0.0000 0.0000 0.7524
P 0.3333 0.6667 0.4191
P 0.3333 0.6667 0.9143
P 0.6667 0.3333 0.0857
P 0.6667 0.3333 0.5809
Ir 0.0000 0.0000 0.0000
Ir 0.3333 0.6667 0.6667
Ir 0.6667 0.3333 0.3333
Os 0.0000 0.0000 0.5000
Os 0.3333 0.6667 0.1667
Os 0.6667 0.3333 0.8333

The formation energy is -0.06 eV/atom. For the size of the total moment, the calculation gives 0.00 μB per formula unit. As for the energy relative to the lowest polymorph listed for this composition: 0.97 eV/f.u.

***

Entry from Alexandria: P2IrOs after structural relaxation (PBE).

abc: 7.6185 2.9421 5.3567
angles: 90.00 90.30 90.00
Positions (direct):
P 0.0000 0.0000 0.0000
P 0.1675 0.5000 0.4833
P 0.5000 0.5000 0.0000
P 0.6675 0.0000 0.4833
Ir 0.2706 0.0000 0.8002
Ir 0.7706 0.5000 0.8002
Os 0.3917 0.0000 0.3026
Os 0.8917 0.5000 0.3026

The formation energy is -0.28 eV/atom. For the size of the total moment, the calculation gives 0.00 μB per formula unit. As for the energy relative to the lowest polymorph listed for this composition: 0.08 eV/f.u.

***

Entry from Alexandria: PIrOs2 after structural relaxation (PBE).

abc: 2.8268 4.2989 9.1488
angles: 90.00 90.00 90.00
Positions (direct):
P 0.0000 0.0000 0.0000
P 0.5000 0.5000 0.5000
Ir 0.0000 0.0000 0.5000
Ir 0.5000 0.5000 0.0000
Os 0.0000 0.5000 0.2934
Os 0.0000 0.5000 0.7066
Os 0.5000 0.0000 0.2066
Os 0.5000 0.0000 0.7934

The formation energy is 0.08 eV/atom. For the size of the total moment, the calculation gives 0.00 μB per formula unit.

***

Entry from Alexandria: P2IrOs after structural relaxation (PBE).

abc: 3.0059 3.0059 5.9249
angles: 90.00 90.00 90.00
Positions (direct):
P 0.0000 0.0000 0.2476
P 0.0000 0.0000 0.7524
Ir 0.5000 0.5000 0.5000
Os 0.5000 0.5000 0.0000

The formation energy is 0.17 eV/atom. For the size of the total moment, the calculation gives 0.00 μB per formula unit. As for the energy relative to the lowest polymorph listed for this composition: 1.89 eV/f.u.

***

Entry from Alexandria: P2IrOs after structural relaxation (PBE).

abc: 3.5999 2.8918 11.8457
angles: 90.00 90.00 90.00
Positions (direct):
P 0.0000 0.0000 0.0000
P 0.0000 0.5000 0.5000
P 0.5000 0.0000 0.2247
P 0.5000 0.5000 0.7247
Ir 0.0000 0.0000 0.3464
Ir 0.0000 0.5000 0.8464
Os 0.5000 0.0000 0.5610
Os 0.5000 0.5000 0.0610

The formation energy is -0.22 eV/atom. For the size of the total moment, the calculation gives 0.00 μB per formula unit. As for the energy relative to the lowest polymorph listed for this composition: 0.34 eV/f.u.

***

Entry from Alexandria: P2IrOs after structural relaxation (PBE).

abc: 8.0269 2.9194 6.2004
angles: 90.00 123.98 90.00
Positions (direct):
P 0.0000 0.0000 0.0000
P 0.0966 0.0000 0.5508
P 0.5000 0.5000 0.0000
P 0.5966 0.5000 0.5508
Ir 0.2873 0.5000 0.1585
Ir 0.7873 0.0000 0.1585
Os 0.4187 0.0000 0.6436
Os 0.9187 0.5000 0.6436

The formation energy is -0.28 eV/atom. For the size of the total moment, the calculation gives 0.00 μB per formula unit. As for the energy relative to the lowest polymorph listed for this composition: 0.11 eV/f.u.

***

Number 1: theoretical density 12.70 g/cm³. Number 2: theoretical density 17.13 g/cm³. Number 3: theoretical density 17.44 g/cm³. Number 4: theoretical density 13.00 g/cm³. Number 5: theoretical density 13.60 g/cm³. Number 6: theoretical density 13.77 g/cm³. Number 7: theoretical density 13.58 g/cm³. Number 8: theoretical density 12.29 g/cm³. Number 9: theoretical density 18.03 g/cm³. Number 10: theoretical density 13.78 g/cm³. Number 11: theoretical density 11.97 g/cm³. Number 12: theoretical density 12.25 g/cm³.